(1)
Below is a geometry-optimized KCuTe structure, with properties calculated at the PBE level.

Cell lengths 4.467, 4.467, 10.203 Å; angles 90.00, 90.00, 120.00 degrees
Element x y z (fractional)
K: 0.000 0.000 0.000
K: 0.000 0.000 0.500
Cu: 0.333 0.667 0.250
Cu: 0.667 0.333 0.750
Te: 0.333 0.667 0.750
Te: 0.667 0.333 0.250

Calculated values
VASP energy = -3.2551 eV/atom
theoretical density = 4336 kg/m³

---

(2)
Below is a geometry-optimized KCuTe structure, with properties calculated at the PBE level.

Cell lengths 7.664, 7.664, 4.678 Å; angles 90.00, 90.00, 120.00 degrees
Element x y z (fractional)
K: 0.000 0.611 0.000
K: 0.389 0.389 0.000
K: 0.611 0.000 0.000
Cu: 0.000 0.000 0.000
Cu: 0.333 0.667 0.500
Cu: 0.667 0.333 0.500
Te: 0.000 0.295 0.500
Te: 0.295 0.000 0.500
Te: 0.705 0.705 0.500

Calculated values
VASP energy = -2.9518 eV/atom
theoretical density = 4820 kg/m³

---

(3)
Below is a geometry-optimized KCuTe3W structure, with properties calculated at the PBE level.

Cell lengths 8.133, 8.133, 10.557 Å; angles 90.00, 90.00, 151.11 degrees
Element x y z (fractional)
K: 0.240 0.760 0.750
K: 0.760 0.240 0.250
Cu: 0.467 0.533 0.250
Cu: 0.533 0.467 0.750
Te: 0.071 0.929 0.250
Te: 0.381 0.619 0.044
Te: 0.381 0.619 0.456
Te: 0.619 0.381 0.544
Te: 0.619 0.381 0.956
Te: 0.929 0.071 0.750
W: 0.000 0.000 0.000
W: 0.000 0.000 0.500

Calculated values
VASP energy = -4.6555 eV/atom
theoretical density = 6589 kg/m³

---

(4)
Below is a geometry-optimized KZrCu3Te4 structure, with properties calculated at the PBE level.

Cell lengths 6.198, 8.210, 10.616 Å; angles 90.00, 106.38, 90.00 degrees
Element x y z (fractional)
K: 0.184 0.250 0.390
K: 0.816 0.750 0.610
Zr: 0.142 0.250 0.789
Zr: 0.858 0.750 0.211
Cu: 0.288 0.510 0.998
Cu: 0.288 0.990 0.998
Cu: 0.342 0.750 0.189
Cu: 0.658 0.250 0.811
Cu: 0.712 0.010 0.002
Cu: 0.712 0.490 0.002
Te: 0.026 0.250 0.024
Te: 0.235 0.750 0.417
Te: 0.402 0.520 0.776
Te: 0.402 0.980 0.776
Te: 0.598 0.020 0.224
Te: 0.598 0.480 0.224
Te: 0.765 0.250 0.583
Te: 0.974 0.750 0.976

Calculated values
VASP energy = -4.2170 eV/atom
theoretical density = 5328 kg/m³

---

(5)
Below is a geometry-optimized KZrCuTe3 structure, with properties calculated at the PBE level.

Cell lengths 12.670, 4.303, 12.798 Å; angles 90.00, 90.00, 90.00 degrees
Element x y z (fractional)
K: 0.190 0.250 0.024
K: 0.310 0.750 0.524
K: 0.690 0.250 0.476
K: 0.810 0.750 0.976
Zr: 0.050 0.250 0.330
Zr: 0.450 0.750 0.830
Zr: 0.550 0.250 0.170
Zr: 0.950 0.750 0.670
Cu: 0.226 0.750 0.226
Cu: 0.274 0.250 0.726
Cu: 0.726 0.750 0.274
Cu: 0.774 0.250 0.774
Te: 0.033 0.750 0.171
Te: 0.088 0.250 0.573
Te: 0.226 0.750 0.823
Te: 0.274 0.250 0.323
Te: 0.412 0.750 0.073
Te: 0.467 0.250 0.671
Te: 0.533 0.750 0.329
Te: 0.588 0.250 0.927
Te: 0.726 0.750 0.677
Te: 0.774 0.250 0.177
Te: 0.912 0.750 0.427
Te: 0.967 0.250 0.829

Calculated values
VASP energy = -4.4818 eV/atom
theoretical density = 5490 kg/m³

---

(6)
Below is a geometry-optimized KZrCu3Te4 structure, with properties calculated at the PBE level.

Cell lengths 6.602, 6.602, 6.602 Å; angles 90.00, 90.00, 90.00 degrees
Element x y z (fractional)
K: 0.000 0.000 0.000
Zr: 0.500 0.500 0.500
Cu: 0.000 0.500 0.500
Cu: 0.500 0.000 0.500
Cu: 0.500 0.500 0.000
Te: 0.266 0.266 0.266
Te: 0.266 0.734 0.734
Te: 0.734 0.266 0.734
Te: 0.734 0.734 0.266

Calculated values
VASP energy = -4.0932 eV/atom
theoretical density = 4797 kg/m³

---

(7)
Below is a geometry-optimized K2TlCu2 structure, with properties calculated at the PBE level.

Cell lengths 9.602, 9.602, 7.234 Å; angles 90.67, 90.67, 152.05 degrees
Element x y z (fractional)
K: 0.104 0.896 0.000
K: 0.153 0.847 0.500
K: 0.847 0.153 0.500
K: 0.896 0.104 0.000
Tl: 0.498 0.498 0.712
Tl: 0.502 0.502 0.288
Cu: 0.167 0.632 0.152
Cu: 0.368 0.833 0.848
Cu: 0.632 0.167 0.152
Cu: 0.833 0.368 0.848

Calculated values
VASP energy = -2.1741 eV/atom
theoretical density = 4358 kg/m³

---

(8)
Below is a geometry-optimized KTmCu structure, with properties calculated at the PBE level.

Cell lengths 7.132, 7.132, 7.132 Å; angles 90.00, 90.00, 90.00 degrees
Element x y z (fractional)
K: 0.000 0.000 0.000
K: 0.000 0.500 0.500
K: 0.500 0.000 0.500
K: 0.500 0.500 0.000
Tm: 0.000 0.000 0.500
Tm: 0.000 0.500 0.000
Tm: 0.500 0.000 0.000
Tm: 0.500 0.500 0.500
Cu: 0.250 0.250 0.250
Cu: 0.250 0.750 0.750
Cu: 0.750 0.250 0.750
Cu: 0.750 0.750 0.250

Calculated values
VASP energy = -2.4894 eV/atom
theoretical density = 4973 kg/m³